! Tm2InSe (GGA-PBE, optimized geometry); values from VASP
&SYSTEM
  ibrav = 0, nat = 4, ntyp = 3
/
ATOMIC_SPECIES
Tm 168.93 Tm.upf
In 114.82 In.upf
Se 78.96 Se.upf
CELL_PARAMETERS angstrom
3.4641 0.0000 0.0000
0.0000 3.4641 0.0000
0.0000 0.0000 7.9571
ATOMIC_POSITIONS angstrom
Tm 0.0000 0.0000 1.8026
Tm 0.0000 0.0000 6.1544
In 1.7321 1.7321 3.9785
Se 1.7321 1.7321 0.0000
! - offset from the most stable computed form (meV per atom) = 160
! - energy relative to the elements, uncorrected (eV per atom) = -0.87
! - SG = P4/mmm (123)